## BaFe3 (PBE-GGA)

Data for crystalline BaFe3 at its relaxed geometry.

Output
Density of states at the Fermi level, states/eV per cell: 3.84
Symmetry: Pmm2, No. 25
ΔH_f (0 K), eV/atom: 0.651
VASP energy, Ha/atom: -0.22700

Cell: 3.9190 3.2256 6.6606 Å, 90.00 90.00 90.00°
Last column: nearest neighbours and their distance in Å.
Sites, in units of the cell vectors:
1 Ba 0.0000 0.0000 0.0238  2 Ba 3.23, 8 Fe 3.31-3.51
2 Fe 0.5000 0.0000 0.4462  6 Fe 2.36-2.56
3 Fe 0.5000 0.5000 0.7052  4 Fe 2.36-2.42
4 Fe 0.0000 0.5000 0.4914  6 Fe 2.42-2.56


## Ba3Fe (PBE-GGA)

Data for crystalline Ba3Fe at its relaxed geometry.

Output
Density of states at the Fermi level, states/eV per cell: 6.60
Symmetry: Immm, No. 71
ΔH_f (0 K), eV/atom: 0.483
E above lowest polymorph, meV per atom: 180
VASP energy, Ha/atom: -0.11301

Cell: 7.7654 7.7654 6.4537 Å, 65.43 65.43 31.18°
Last column: nearest neighbours and their distance in Å.
Sites, in units of the cell vectors:
1 Ba 0.5000 0.5000 0.5000  4 Fe 3.84, 6 Ba 4.06-4.17
2 Ba 0.6829 0.6829 0.8172  2 Fe 3.23
3 Ba 0.3171 0.3171 0.1828  2 Fe 3.23
4 Fe 0.0000 0.0000 0.0000  4 Ba 3.23


## BaFe3 (PBE-GGA)

Data for crystalline BaFe3 at its relaxed geometry.

Output
Density of states at the Fermi level, states/eV per cell: 4.79
Symmetry: Immm, No. 71
ΔH_f (0 K), eV/atom: 0.936
VASP energy, Ha/atom: -0.21650

Cell: 5.7231 5.7231 5.7231 Å, 149.07 124.65 64.76°
Last column: nearest neighbours and their distance in Å.
Sites, in units of the cell vectors:
1 Ba 0.5000 0.0000 0.5000  2 Ba 3.05, 12 Fe 3.06-3.29
2 Fe 0.2006 0.2006 0.0000  2 Fe 2.47
3 Fe 0.7994 0.7994 0.0000  2 Fe 2.47
4 Fe 0.0000 0.5000 0.5000  4 Fe 2.47


## BaFe3 (PBE-GGA)

Data for crystalline BaFe3 at its relaxed geometry.

Output
Density of states at the Fermi level, states/eV per cell: 2.90
Symmetry: R-3m, No. 166
ΔH_f (0 K), eV/atom: 0.408
VASP energy, Ha/atom: -0.23590

Cell: 4.0839 4.0839 6.2734 Å, 70.98 70.98 60.05°
Last column: nearest neighbours and their distance in Å.
Sites, in units of the cell vectors:
1 Ba 0.0000 0.0000 0.0000  8 Fe 3.26-3.47
2 Fe 0.5000 0.5000 0.5000  6 Fe 2.38-2.39
3 Fe 0.8127 0.8127 0.5617  6 Fe 2.38-2.46
4 Fe 0.1873 0.1873 0.4383  6 Fe 2.38-2.46


## BaFe2 (PBE-GGA)

Data for crystalline BaFe2 at its relaxed geometry.

Output
Density of states at the Fermi level, states/eV per cell: 7.21
Symmetry: C2/m, No. 12
ΔH_f (0 K), eV/atom: 0.545
VASP energy, Ha/atom: -0.21084

Cell: 7.6303 7.6303 6.1128 Å, 54.87 54.87 32.04°
Last column: nearest neighbours and their distance in Å.
Sites, in units of the cell vectors:
1 Ba 0.6048 0.6048 0.0949  7 Fe 3.23-3.51
2 Ba 0.3952 0.3952 0.9051  7 Fe 3.23-3.51
3 Fe 0.8715 0.8715 0.4513  3 Fe 2.26-2.36
4 Fe 0.2826 0.2826 0.5483  5 Fe 2.26-2.52
5 Fe 0.1285 0.1285 0.5487  3 Fe 2.26-2.36
6 Fe 0.7174 0.7174 0.4517  5 Fe 2.26-2.52


## Ba3Fe (PBE-GGA)

Data for crystalline Ba3Fe at its relaxed geometry.

Output
Density of states at the Fermi level, states/eV per cell: 33.81
Symmetry: P6_3/mmc, No. 194
ΔH_f (0 K), eV/atom: 0.627
E above lowest polymorph, meV per atom: 324
VASP energy, Ha/atom: -0.10770

Cell: 8.0009 8.0009 12.3974 Å, 90.00 90.00 120.00°
Last column: nearest neighbours and their distance in Å.
Sites, in units of the cell vectors:
1 Ba 0.5000 0.0000 0.0000  4 Fe 3.87-4.00, 8 Ba 3.92-4.00
2 Ba 0.5000 0.0000 0.5000  4 Fe 3.87-4.00, 8 Ba 3.92-4.00
3 Ba 0.0000 0.5000 0.0000  4 Fe 3.87-4.00, 8 Ba 3.92-4.00
4 Ba 0.5000 0.5000 0.0000  4 Fe 3.87-4.00, 8 Ba 3.92-4.00
5 Ba 0.5000 0.5000 0.5000  4 Fe 3.87-4.00, 8 Ba 3.92-4.00
6 Ba 0.0000 0.5000 0.5000  4 Fe 3.87-4.00, 8 Ba 3.92-4.00
7 Ba 0.8447 0.6894 0.2500  6 Ba 3.73-3.92, 4 Fe 3.77-4.00
8 Ba 0.1553 0.3106 0.7500  6 Ba 3.73-3.92, 4 Fe 3.77-4.00
9 Ba 0.3106 0.1553 0.2500  6 Ba 3.73-3.92, 4 Fe 3.77-4.00
10 Ba 0.8447 0.1553 0.2500  6 Ba 3.73-3.92, 4 Fe 3.77-4.00
11 Ba 0.1553 0.8447 0.7500  6 Ba 3.73-3.92, 4 Fe 3.77-4.00
12 Ba 0.6894 0.8447 0.7500  6 Ba 3.73-3.92, 4 Fe 3.77-4.00
13 Fe 0.0000 0.0000 0.0000  12 Ba 3.77-4.00
14 Fe 0.0000 0.0000 0.5000  12 Ba 3.77-4.00
15 Fe 0.3333 0.6667 0.2500  12 Ba 3.87-4.00
16 Fe 0.6667 0.3333 0.7500  12 Ba 3.87-4.00


## BaFe (PBE-GGA)

Data for crystalline BaFe at its relaxed geometry.

Output
Density of states at the Fermi level, states/eV per cell: 34.07
Symmetry: Fddd, No. 70
ΔH_f (0 K), eV/atom: 0.708
VASP energy, Ha/atom: -0.16480

Cell: 9.8630 15.2935 6.4334 Å, 90.00 90.00 90.00°
Last column: nearest neighbours and their distance in Å.
Sites, in units of the cell vectors:
1 Ba 0.3242 0.0000 0.0000  4 Fe 3.27-3.37, 3 Ba 3.47-3.53
2 Ba 0.6758 0.0000 0.0000  4 Fe 3.27-3.37, 3 Ba 3.47-3.53
3 Ba 0.9258 0.7500 0.2500  4 Fe 3.27-3.37, 3 Ba 3.47-3.53
4 Ba 0.5742 0.7500 0.2500  4 Fe 3.27-3.37, 3 Ba 3.47-3.53
5 Ba 0.3242 0.5000 0.5000  4 Fe 3.27-3.37, 3 Ba 3.47-3.53
6 Ba 0.6758 0.5000 0.5000  4 Fe 3.27-3.37, 3 Ba 3.47-3.53
7 Ba 0.9258 0.2500 0.7500  4 Fe 3.27-3.37, 3 Ba 3.47-3.53
8 Ba 0.5742 0.2500 0.7500  4 Fe 3.27-3.37, 3 Ba 3.47-3.53
9 Ba 0.8242 0.0000 0.5000  4 Fe 3.27-3.37, 3 Ba 3.47-3.53
10 Ba 0.1758 0.0000 0.5000  4 Fe 3.27-3.37, 3 Ba 3.47-3.53
11 Ba 0.4258 0.7500 0.7500  4 Fe 3.27-3.37, 3 Ba 3.47-3.53
12 Ba 0.0742 0.7500 0.7500  4 Fe 3.27-3.37, 3 Ba 3.47-3.53
13 Ba 0.8242 0.5000 0.0000  4 Fe 3.27-3.37, 3 Ba 3.47-3.53
14 Ba 0.1758 0.5000 0.0000  4 Fe 3.27-3.37, 3 Ba 3.47-3.53
15 Ba 0.4258 0.2500 0.2500  4 Fe 3.27-3.37, 3 Ba 3.47-3.53
16 Ba 0.0742 0.2500 0.2500  4 Fe 3.27-3.37, 3 Ba 3.47-3.53
17 Fe 0.0000 0.9299 0.0000  1 Fe 2.14
18 Fe 0.0000 0.0701 0.0000  1 Fe 2.14
19 Fe 0.2500 0.8201 0.2500  1 Fe 2.14
20 Fe 0.2500 0.6799 0.2500  1 Fe 2.14
21 Fe 0.0000 0.4299 0.5000  1 Fe 2.14
22 Fe 0.0000 0.5701 0.5000  1 Fe 2.14
23 Fe 0.2500 0.3201 0.7500  1 Fe 2.14
24 Fe 0.2500 0.1799 0.7500  1 Fe 2.14
25 Fe 0.5000 0.9299 0.5000  1 Fe 2.14
26 Fe 0.5000 0.0701 0.5000  1 Fe 2.14
27 Fe 0.7500 0.8201 0.7500  1 Fe 2.14
28 Fe 0.7500 0.6799 0.7500  1 Fe 2.14
29 Fe 0.5000 0.4299 0.0000  1 Fe 2.14
30 Fe 0.5000 0.5701 0.0000  1 Fe 2.14
31 Fe 0.7500 0.3201 0.2500  1 Fe 2.14
32 Fe 0.7500 0.1799 0.2500  1 Fe 2.14


## BaFe3 (PBE-GGA)

Data for crystalline BaFe3 at its relaxed geometry.

Output
Density of states at the Fermi level, states/eV per cell: 9.58
Symmetry: Pm-3n, No. 223
ΔH_f (0 K), eV/atom: 1.145
VASP energy, Ha/atom: -0.20884

Cell: 5.3399 5.3399 5.3399 Å, 90.00 90.00 90.00°
Last column: nearest neighbours and their distance in Å.
Sites, in units of the cell vectors:
1 Ba 0.0000 0.0000 0.0000  12 Fe 2.99
2 Ba 0.5000 0.5000 0.5000  12 Fe 2.99
3 Fe 0.7500 0.5000 0.0000  2 Fe 2.67, 4 Ba 2.99
4 Fe 0.2500 0.5000 0.0000  2 Fe 2.67, 4 Ba 2.99
5 Fe 0.0000 0.7500 0.5000  2 Fe 2.67, 4 Ba 2.99
6 Fe 0.0000 0.2500 0.5000  2 Fe 2.67, 4 Ba 2.99
7 Fe 0.5000 0.0000 0.2500  2 Fe 2.67, 4 Ba 2.99
8 Fe 0.5000 0.0000 0.7500  2 Fe 2.67, 4 Ba 2.99


## BaFe3 (PBE-GGA)

Data for crystalline BaFe3 at its relaxed geometry.

Output
Density of states at the Fermi level, states/eV per cell: 13.67
Symmetry: P6_3/mmc, No. 194
ΔH_f (0 K), eV/atom: 0.505
VASP energy, Ha/atom: -0.23236

Cell: 7.1797 7.1797 4.1387 Å, 90.00 90.00 120.00°
Last column: nearest neighbours and their distance in Å.
Sites, in units of the cell vectors:
1 Ba 0.3333 0.6667 0.2500  12 Fe 3.46-3.66
2 Ba 0.6667 0.3333 0.7500  12 Fe 3.46-3.66
3 Fe 0.8893 0.7786 0.2500  6 Fe 2.38-2.49
4 Fe 0.2214 0.1107 0.2500  6 Fe 2.38-2.49
5 Fe 0.8893 0.1107 0.2500  6 Fe 2.38-2.49
6 Fe 0.1107 0.2214 0.7500  6 Fe 2.38-2.49
7 Fe 0.7786 0.8893 0.7500  6 Fe 2.38-2.49
8 Fe 0.1107 0.8893 0.7500  6 Fe 2.38-2.49


## BaFe2 (PBE-GGA)

Data for crystalline BaFe2 at its relaxed geometry.

Output
Density of states at the Fermi level, states/eV per cell: 9.29
Symmetry: Cmcm, No. 63
ΔH_f (0 K), eV/atom: 0.519
VASP energy, Ha/atom: -0.21180

Cell: 10.7647 10.7647 3.7073 Å, 90.00 90.00 159.77°
Last column: nearest neighbours and their distance in Å.
Sites, in units of the cell vectors:
1 Ba 0.8413 0.1587 0.7500  4 Fe 3.25-3.27
2 Ba 0.1587 0.8413 0.2500  4 Fe 3.25-3.27
3 Fe 0.0329 0.9671 0.7500  4 Fe 2.32-2.35
4 Fe 0.4673 0.5327 0.7500  4 Fe 2.32-2.35
5 Fe 0.5327 0.4673 0.2500  4 Fe 2.32-2.35
6 Fe 0.9671 0.0329 0.2500  4 Fe 2.32-2.35


## Ba3Fe (PBE-GGA)

Data for crystalline Ba3Fe at its relaxed geometry.

Output
Density of states at the Fermi level, states/eV per cell: 12.76
Symmetry: Cmcm, No. 63
ΔH_f (0 K), eV/atom: 0.303
E above lowest polymorph, meV per atom: 0
VASP energy, Ha/atom: -0.11961

Cell: 9.8140 9.8140 4.2693 Å, 90.00 90.00 102.05°
Last column: nearest neighbours and their distance in Å.
Sites, in units of the cell vectors:
1 Ba 0.8760 0.1240 0.7500  10 Ba 4.27-4.54
2 Ba 0.1240 0.8760 0.2500  10 Ba 4.27-4.54
3 Ba 0.7972 0.5529 0.7500  3 Fe 3.23-3.31
4 Ba 0.2028 0.4471 0.2500  3 Fe 3.23-3.31
5 Ba 0.4471 0.2028 0.7500  3 Fe 3.23-3.31
6 Ba 0.5529 0.7972 0.2500  3 Fe 3.23-3.31
7 Fe 0.5356 0.4644 0.2500  2 Fe 2.40
8 Fe 0.4644 0.5356 0.7500  2 Fe 2.40


## BaFe12 (PBE-GGA)

Data for crystalline BaFe12 at its relaxed geometry.

Output
Density of states at the Fermi level, states/eV per cell: 29.41
Symmetry: P6_3mc, No. 186
ΔH_f (0 K), eV/atom: 0.345
VASP energy, Ha/atom: -0.27982

Cell: 4.6895 4.6895 21.0968 Å, 90.00 90.00 120.00°
Last column: nearest neighbours and their distance in Å.
Sites, in units of the cell vectors:
1 Ba 0.6667 0.3333 0.2626  9 Fe 3.18-3.50
2 Ba 0.3333 0.6667 0.7626  9 Fe 3.18-3.50
3 Fe 0.3333 0.6667 0.4839  7 Fe 2.45-2.74
4 Fe 0.6667 0.3333 0.5248  16 Fe 2.65-2.84
5 Fe 0.6667 0.3333 0.9839  7 Fe 2.45-2.74
6 Fe 0.3333 0.6667 0.0248  16 Fe 2.65-2.84
7 Fe 0.0000 0.0000 0.5026  6 Fe 2.35-2.37
8 Fe 0.0000 0.0000 0.0026  6 Fe 2.35-2.37
9 Fe 0.3333 0.6667 0.3677  7 Fe 2.45-2.52
10 Fe 0.6667 0.3333 0.6506  10 Fe 2.63-2.80
11 Fe 0.6667 0.3333 0.8677  7 Fe 2.45-2.52
12 Fe 0.3333 0.6667 0.1506  10 Fe 2.63-2.80
13 Fe 0.1707 0.3413 0.5937  6 Fe 2.29-2.40
14 Fe 0.6587 0.8293 0.5937  6 Fe 2.29-2.40
15 Fe 0.1707 0.8293 0.5937  6 Fe 2.29-2.40
16 Fe 0.8313 0.6627 0.4120  7 Fe 2.32-2.52
17 Fe 0.3373 0.1687 0.4120  7 Fe 2.32-2.52
18 Fe 0.8313 0.1687 0.4120  7 Fe 2.32-2.52
19 Fe 0.8293 0.6587 0.0937  6 Fe 2.29-2.40
20 Fe 0.3413 0.1707 0.0937  6 Fe 2.29-2.40
21 Fe 0.8293 0.1707 0.0937  6 Fe 2.29-2.40
22 Fe 0.1687 0.3373 0.9120  7 Fe 2.32-2.52
23 Fe 0.6627 0.8313 0.9120  7 Fe 2.32-2.52
24 Fe 0.1687 0.8313 0.9120  7 Fe 2.32-2.52
25 Fe 0.0000 0.0000 0.1837  3 Fe 2.35
26 Fe 0.0000 0.0000 0.6837  3 Fe 2.35